This record from Alexandria describes a geometry-optimized B7C5 structure. The functional is GGA-PBE.

crystal system = monoclinic
spin magnetization = 0.000 μB/atom
formation energy from the elements = 0.411 eV/atom
symmetry = No. 8

Cell lengths 6.3964, 6.3964, 5.0200 Å; angles 95.34, 95.34, 23.26 degrees
Last column: nearest neighbours and their distance in Å.
Positions (direct):
B  0.0000  0.0000  0.0000  1 C 1.59, 3 B 1.71-1.76
B  0.2321  0.2321  0.5785  2 C 1.59-1.63
B  0.5228  0.5228  0.2366  1 C 1.66, 3 B 1.70-1.76
B  0.5664  0.5664  0.5668  2 C 1.56, 1 B 1.70
B  0.6703  0.6703  0.3299  1 C 1.65, 1 B 1.84
B  0.8546  0.8546  0.1193  3 C 1.68-1.71
B  0.8945  0.8945  0.7578  2 C 1.59, 1 B 1.71
C  0.0638  0.0638  0.7408  3 B 1.56-1.59, 1 C 1.63
C  0.1878  0.1878  0.8732  3 C 1.56-1.63, 1 B 1.63
C  0.3596  0.3596  0.5869  1 C 1.48, 3 B 1.59
C  0.3970  0.3970  0.3159  1 C 1.48
C  0.7194  0.7194  0.0355  2 C 1.56, 2 B 1.65-1.71